1.
Here is a relaxed CoPHBr crystal from Alexandria via LeMat-Bulk. Energies are from GGA-PBE.

```
CoPHBr
1.0
3.080 -1.745 0.000
3.080 1.745 0.000
-2.268 0.000 5.653
Co P H Br
1 1 1 1
Direct
0.000 0.000 0.000
0.727 0.727 0.145
0.454 0.454 0.952
0.786 0.786 0.589
```

Summary:
Spin magnetization in μB/cell: 0.0
Energy above the lowest structure with this stoichiometry in meV/atom: 302.0
Space-group type: No. 8

2.
Here is a relaxed Zr4GaFe crystal from Alexandria via LeMat-Bulk. Energies are from GGA-PBE.

```
Zr4GaFe
1.0
6.527 0.000 0.000
0.000 6.527 0.000
0.000 0.000 5.572
Zr Ga Fe
8 2 2
Direct
0.152 0.320 0.000
0.152 0.680 0.500
0.320 0.152 0.500
0.320 0.848 0.000
0.680 0.152 0.000
0.680 0.848 0.500
0.848 0.320 0.500
0.848 0.680 0.000
0.500 0.500 0.250
0.500 0.500 0.750
0.000 0.000 0.250
0.000 0.000 0.750
```

Summary:
Spin magnetization in μB/cell: 0.0
Space-group type: No. 124
Energy of formation from the pure elements in meV/atom: -282

3.
Here is a relaxed Ba2LiAlSi2 crystal from Alexandria via LeMat-Bulk. Energies are from GGA-PBE.

```
Ba2LiAlSi2
1.0
-3.256 7.637 3.229
3.256 -7.637 3.229
3.256 7.637 -3.229
Ba Li Al Si
4 2 2 4
Direct
0.161 0.240 0.401
0.339 0.740 0.079
0.661 0.260 0.921
0.839 0.760 0.599
0.250 0.250 0.000
0.750 0.750 0.000
0.250 0.750 0.500
0.750 0.250 0.500
0.094 0.731 0.825
0.406 0.231 0.638
0.594 0.769 0.362
0.906 0.269 0.175
```

Summary:
Raw formation energy in meV/atom: -392
Spin magnetization in μB/cell: 0.0
Space-group type: No. 72